Compound: CuRh2W
Source: Alexandria via LeMat-Bulk
Functional: SCAN
Structure: single point on PBEsol structure

a b c (Å): 3.222 3.222 5.328
angles (deg): 90.00 90.00 90.00
Fractional positions:
Rh 0.000 0.000 0.969
Rh 0.500 0.500 0.269
Cu 0.500 0.500 0.758
W 0.000 0.000 0.504

Results
As for the density of states at the Fermi level: 3.21 states/eV/f.u. For the energy above the most stable polymorph in this dataset, the calculation gives 320 meV/atom. The value obtained for the energy of formation is 0.14 eV per atom.


Compound: Si2GeIrN
Source: Alexandria via LeMat-Bulk
Functional: SCAN
Structure: single point on PBEsol structure

a b c (Å): 3.846 3.846 4.244
angles (deg): 90.00 90.00 90.00
Fractional positions:
Si 0.500 0.000 0.000
Si 0.000 0.500 0.000
Ge 0.000 0.000 0.500
Ir 0.500 0.500 0.500
N 0.000 0.000 0.000

Results
As for the density of states at the Fermi level: 1.69 states/eV/f.u. As for the uncorrected formation energy: 0.516 eV/atom.


Compound: ZrZnSb2
Source: Alexandria via LeMat-Bulk
Functional: SCAN
Structure: single point on PBEsol structure

a b c (Å): 3.743 3.744 6.039
angles (deg): 90.08 90.00 90.00
Fractional positions:
Sb 0.000 0.001 0.249
Sb 0.000 0.999 0.751
Zn 0.500 0.500 0.500
Zr 0.500 0.500 0.000

Results
As for the density of states at the Fermi level: 1.45 states/eV/f.u. As for the uncorrected formation energy: -0.362 eV/atom.


Compound: BaSnHgS4
Source: Alexandria via LeMat-Bulk
Functional: SCAN
Structure: single point on PBEsol structure

a b c (Å): 6.312 6.312 10.843
angles (deg): 90.00 90.00 116.90
Fractional positions:
S 0.467 0.996 0.421
S 0.467 0.996 0.079
S 0.063 0.249 0.250
S 0.996 0.467 0.921
S 0.996 0.467 0.579
S 0.760 0.654 0.250
S 0.654 0.760 0.750
S 0.249 0.063 0.750
Sn 0.250 0.676 0.750
Sn 0.676 0.250 0.250
Ba 0.949 0.949 0.500
Ba 0.949 0.949 0.000
Hg 0.333 0.672 0.250
Hg 0.672 0.333 0.750

Results
As for the density of states at the Fermi level: 0.00 states/eV/f.u. As for the uncorrected formation energy: -0.971 eV/atom.


Compound: LiRu2N
Source: Alexandria via LeMat-Bulk
Functional: SCAN
Structure: single point on PBEsol structure

a b c (Å): 4.316 5.127 5.127
angles (deg): 79.80 65.11 65.11
Fractional positions:
N 0.000 0.000 0.000
N 0.750 0.500 0.500
Ru 0.738 0.387 0.887
Ru 0.012 0.613 0.113
Ru 0.375 0.887 0.613
Ru 0.875 0.113 0.387
Li 0.250 0.500 0.500
Li 0.500 0.000 0.000

Results
As for the density of states at the Fermi level: 2.63 states/eV/f.u. As for the uncorrected formation energy: 0.133 eV/atom.


Compound: KSi2P
Source: Alexandria via LeMat-Bulk
Functional: SCAN
Structure: single point on PBEsol structure

a b c (Å): 4.742 4.742 4.742
angles (deg): 60.00 60.00 60.00
Fractional positions:
Si 0.750 0.750 0.750
Si 0.000 0.000 0.000
K 0.500 0.500 0.500
P 0.250 0.250 0.250

Results
As for the density of states at the Fermi level: 2.51 states/eV/f.u. As for the uncorrected formation energy: 0.877 eV/atom.